No. 1
Ta3Cd, relaxed, DFT PBE; SG = P4/mmm (123); E = -8.948 eV/atom; volume = 75.66 Å³/f.u.
1.0
3.396 0.000 0.000
0.000 3.396 0.000
0.000 0.000 6.561
Ta Cd
3 1
Cartesian
0.000 0.000 0.000 Ta
1.698 1.698 1.487 Ta
1.698 1.698 5.074 Ta
0.000 0.000 3.280 Cd

=====

No. 2
As2RhPbI, relaxed, DFT PBE; SG = P4/mmm (123); volume = 139.06 Å³/f.u.; uncorrected formation energy = 0.09 eV/atom
1.0
4.706 0.000 0.000
0.000 4.706 0.000
0.000 0.000 6.278
As Rh Pb I
2 1 1 1
Cartesian
0.000 2.353 0.000 As
2.353 0.000 0.000 As
0.000 0.000 0.000 Rh
0.000 0.000 3.139 Pb
2.353 2.353 3.139 I

=====

No. 3
TiCu2Au, relaxed, DFT PBE; SG = Immm (71); E = -4.591 eV/atom; volume = 65.09 Å³/f.u.
1.0
-1.323 2.364 5.204
1.323 -2.364 5.204
1.323 2.364 -5.204
Ti Cu Au
1 2 1
Cartesian
0.000 0.000 0.000 Ti
0.000 0.000 2.595 Cu
0.000 0.000 7.813 Cu
0.000 0.000 5.204 Au

=====

No. 4
NpMnZn2H8, relaxed, DFT PBE; SG = P-1 (2); E = -4.319 eV/atom; volume = 98.00 Å³/f.u.
1.0
4.328 0.000 0.000
0.022 4.487 0.000
0.141 1.295 5.046
Np Mn Zn H
1 1 2 8
Cartesian
0.000 0.000 0.000 Np
0.081 2.891 2.523 Mn
2.211 2.154 1.446 Zn
2.279 3.629 3.600 Zn
0.360 3.518 4.038 H
0.958 1.553 2.836 H
1.169 3.912 1.894 H
2.155 0.910 0.274 H
2.335 4.872 4.772 H
3.322 1.870 3.153 H
3.533 4.229 2.210 H
4.131 2.265 1.008 H

=====

No. 5
BaY2Si, relaxed, DFT PBE; SG = C2/m (12); volume = 122.58 Å³/f.u.; uncorrected formation energy = 0.19 eV/atom
1.0
3.468 -5.636 0.000
3.468 5.636 0.000
-1.785 0.000 3.136
Ba Y Si
1 2 1
Cartesian
0.000 0.000 0.000 Ba
0.842 2.818 1.568 Y
0.842 -2.818 1.568 Y
3.468 0.000 0.000 Si

=====

No. 6
TlSn5Pb4, relaxed, DFT PBE; SG = P4/mmm (123); E = -3.668 eV/atom; volume = 297.04 Å³/f.u.
1.0
3.430 0.000 0.000
0.000 3.430 0.000
0.000 0.000 25.247
Tl Sn Pb
1 5 4
Cartesian
0.000 0.000 0.000 Tl
1.715 1.715 2.561 Sn
1.715 1.715 7.607 Sn
1.715 1.715 12.623 Sn
1.715 1.715 17.639 Sn
1.715 1.715 22.686 Sn
0.000 0.000 5.063 Pb
0.000 0.000 10.136 Pb
0.000 0.000 15.111 Pb
0.000 0.000 20.184 Pb

=====

- What is the volume in the first record?
  75.66 Å³/f.u.